No. 1
Here is an optimized crystal structure of Tl2FeNiAg from Alexandria. Energies are from PBE-GGA.

POSCAR file:
```
Tl2FeNiAg
1.0
4.941 0.000 0.000
0.000 4.941 0.000
0.000 0.000 4.907
Tl Fe Ni Ag
2 1 1 1
Direct
0.000 0.500 0.000 Tl
0.500 0.000 0.000 Tl
0.000 0.000 0.500 Fe
0.500 0.500 0.000 Ni
0.500 0.500 0.500 Ag
```

Properties
- space group = P4/mmm, No. 123
- magnetic moment (μB per atom) = 0.6717
- Fermi-level density of states (states/eV per cell) = 6.3
- formation energy from the elements (meV/atom) = 836



No. 2
Here is an optimized crystal structure of Sr2LiAl5 from Alexandria. Energies are from PBE-GGA.

POSCAR file:
```
Sr2LiAl5
1.0
2.258 -8.774 0.000
2.258 8.774 0.000
0.000 0.000 9.695
Sr Li Al
4 2 10
Direct
0.000 0.000 0.000 Sr
0.000 0.000 0.500 Sr
0.198 0.802 0.750 Sr
0.802 0.198 0.250 Sr
0.449 0.551 0.250 Li
0.551 0.449 0.750 Li
0.192 0.808 0.109 Al
0.192 0.808 0.391 Al
0.351 0.649 0.019 Al
0.351 0.649 0.481 Al
0.393 0.607 0.750 Al
0.607 0.393 0.250 Al
0.649 0.351 0.519 Al
0.649 0.351 0.981 Al
0.808 0.192 0.609 Al
0.808 0.192 0.891 Al
```

Properties
- space group = Cmcm, No. 63
- magnetic moment (μB per atom) = 0.0000
- Fermi-level density of states (states/eV per cell) = 7.6
- formation energy from the elements (meV/atom) = -182



No. 3
Here is an optimized crystal structure of ErScAu6 from Alexandria. Energies are from PBE-GGA.

POSCAR file:
```
ErScAu6
1.0
4.566 -2.194 0.000
4.566 2.194 0.000
-4.151 0.000 7.689
Er Sc Au
1 1 6
Direct
0.000 0.000 0.000 Er
0.000 0.000 0.500 Sc
0.248 0.248 0.867 Au
0.252 0.252 0.382 Au
0.496 0.496 0.251 Au
0.504 0.504 0.749 Au
0.748 0.748 0.618 Au
0.752 0.752 0.133 Au
```

Properties
- space group = C2/m, No. 12
- magnetic moment (μB per atom) = 0.0000
- Fermi-level density of states (states/eV per cell) = 3.8
- formation energy from the elements (meV/atom) = -637



No. 4
Here is an optimized crystal structure of La2Os3 from Alexandria. Energies are from PBE-GGA.

POSCAR file:
```
La2Os3
1.0
4.083 0.000 0.000
-2.042 3.536 0.000
0.000 0.000 8.982
La Os
2 3
Direct
0.333 0.667 0.317 La
0.667 0.333 0.683 La
0.000 0.000 0.500 Os
0.333 0.667 0.973 Os
0.667 0.333 0.027 Os
```

Properties
- space group = P-3m1, No. 164
- magnetic moment (μB per atom) = 0.0000
- offset from the most stable computed form (meV/atom) = 420
- Fermi-level density of states (states/eV per cell) = 5.9
- formation energy from the elements (meV/atom) = 353



The total DFT energy (no corrections) results, record by record, are as follows: -3.529; -3.180; -4.456; -8.356 eV/atom.